1.
CoAuCl2: PBEsol geometry, meta-GGA SCAN.

Unit cell a=2.999 b=4.646 c=6.196 alpha=112.02 beta=104.01 gamma=90.00
Positions (direct):
Co (0.000, 0.500, 0.000)
Au (0.500, 0.000, 0.000)
Cl (0.644, 0.644, 0.287)
Cl (0.356, 0.356, 0.713)

## Properties
* total energy: -0.946 Ha/atom
* formation energy from raw total energies: -0.1420 eV per atom
* volume: 77.28 Å³ per cell

---

2.
CoAuCl2: PBEsol geometry, meta-GGA SCAN.

Unit cell a=3.104 b=3.104 c=9.076 alpha=80.15 beta=80.15 gamma=60.00
Each line ends with the local moment (μB).
Positions (direct):
Co (0.500, 0.500, 0.500)  0.95
Au (0.000, 0.000, 0.000)  -0.01
Cl (0.884, 0.884, 0.348)  -0.01
Cl (0.116, 0.116, 0.652)  -0.01

## Properties
* total energy: -0.948 Ha/atom
* formation energy from raw total energies: -0.1842 eV per atom
* volume: 74.24 Å³ per cell